(1)
Here is a relaxed structure of Rb3PmDy2Te6 from the Alexandria database. Energies are from PBE-GGA.

Cell: 7.896 7.896 8.954 Å, 98.45 98.45 120.01°
Sites, in units of the cell vectors:
Rb 0.165 0.835 0.500
Rb 0.835 0.165 0.500
Rb 0.500 0.500 0.500
Pm 0.000 0.000 0.000
Dy 0.333 0.667 0.000
Dy 0.667 0.333 0.000
Te 0.933 0.594 0.799
Te 0.728 0.728 0.200
Te 0.067 0.406 0.201
Te 0.594 0.933 0.799
Te 0.272 0.272 0.800
Te 0.406 0.067 0.201

Summary:
Total magnetic moment, μB per formula unit: 0.0
Energy relative to the elements, uncorrected, eV per atom: -1.3910
E_tot, eV/atom: -4.367
Space-group type: C2/m

(2)
Here is a relaxed structure of KTmSeS from the Alexandria database. Energies are from PBE-GGA.

Cell: 4.056 4.056 8.023 Å, 90.01 104.64 120.00°
Sites, in units of the cell vectors:
K 0.969 0.383 0.367
Tm 0.298 0.547 0.860
Se 0.105 0.950 0.070
S 0.506 0.151 0.672

Summary:
Total magnetic moment, μB per formula unit: 0.0
Energy relative to the elements, uncorrected, eV per atom: -1.7879
E_tot, eV/atom: -5.083
Space-group type: R3m

(3)
Here is a relaxed structure of KZrTc2Pb from the Alexandria database. Energies are from PBE-GGA.

Cell: 5.219 5.520 5.219 Å, 90.00 90.00 90.00°
Site moments in Bohr magnetons follow the coordinates.
Sites, in units of the cell vectors:
Pb 0.000 0.000 0.000  -0.07
K 0.500 0.500 0.500  -0.02
Tc 0.000 0.000 0.500  1.97
Tc 0.500 0.000 0.000  1.66
Zr 0.000 0.500 0.000  -1.02

Summary:
Total magnetic moment, μB per formula unit: 2.2
Formation energy from the elements, eV/f.u.: 9.2
E_tot, eV/atom: -4.976
Space-group type: P4/mmm

(4)
Here is a relaxed structure of InGaPd5 from the Alexandria database. Energies are from PBE-GGA.

Cell: 7.704 7.704 7.561 Å, 48.94 48.94 76.82°
Sites, in units of the cell vectors:
In 0.560 0.440 0.250
In 0.440 0.560 0.750
Ga 0.000 0.000 0.000
Ga 0.000 0.000 0.500
Pd 0.681 0.893 0.024
Pd 0.209 0.552 0.595
Pd 0.893 0.681 0.524
Pd 0.834 0.166 0.250
Pd 0.448 0.791 0.905
Pd 0.552 0.209 0.095
Pd 0.166 0.834 0.750
Pd 0.107 0.319 0.476
Pd 0.791 0.448 0.405
Pd 0.319 0.107 0.976

Summary:
Total magnetic moment, μB per formula unit: 0.0
Relative energy among the computed polymorphs, eV per atom: 0.057
Formation energy from the elements, eV/f.u.: -2.3
E_tot, eV/atom: -4.855
Space-group type: C2/c

(5)
Here is a relaxed structure of InRuF3 from the Alexandria database. Energies are from PBE-GGA.

Cell: 4.389 4.389 4.389 Å, 90.00 90.00 90.00°
Site moments in Bohr magnetons follow the coordinates.
Sites, in units of the cell vectors:
Ru 0.500 0.500 0.500  2.58
F 0.000 0.500 0.000  0.02
F 0.000 0.000 0.500  0.01
F 0.500 0.000 0.000  0.00
In 0.000 0.000 0.000  -0.04

Summary:
Total magnetic moment, μB per formula unit: 2.9
Energy relative to the elements, uncorrected, eV per atom: -0.8357
Relative energy among the computed polymorphs, eV per atom: 0.341
E_tot, eV/atom: -4.361
Space-group type: Pm-3m

(6)
Here is a relaxed structure of CsRb2HgAu from the Alexandria database. Energies are from PBE-GGA.

Cell: 6.686 6.686 6.913 Å, 90.00 90.00 90.00°
Sites, in units of the cell vectors:
Cs 0.000 0.000 0.500
Au 0.000 0.000 0.000
Hg 0.500 0.500 0.500
Rb 0.000 0.500 0.000
Rb 0.500 0.000 0.000

Summary:
Total magnetic moment, μB per formula unit: 0.6
Relative energy among the computed polymorphs, eV per atom: 0.001
Formation energy from the elements, eV/f.u.: -0.6
E_tot, eV/atom: -1.391
Space-group type: P4/mmm

(7)
Here is a relaxed structure of CsTl2ZnAu2 from the Alexandria database. Energies are from PBE-GGA.

Cell: 4.928 8.010 9.548 Å, 90.00 90.00 90.00°
Sites, in units of the cell vectors:
Cs 0.000 0.028 0.476
Cs 0.000 0.528 0.524
Tl 0.500 0.989 0.123
Tl 0.000 0.348 0.124
Tl 0.500 0.489 0.877
Tl 0.000 0.848 0.876
Zn 0.500 0.124 0.817
Zn 0.500 0.624 0.183
Au 0.000 0.243 0.832
Au 0.500 0.312 0.279
Au 0.000 0.743 0.168
Au 0.500 0.812 0.721

Summary:
Total magnetic moment, μB per formula unit: 0.0
Formation energy from the elements, eV/f.u.: -0.7
E_tot, eV/atom: -2.349
Space-group type: Pmc2_1

(8)
Here is a relaxed structure of CsH6SeN2 from the Alexandria database. Energies are from PBE-GGA.

Cell: 7.124 7.124 11.407 Å, 130.98 130.98 84.02°
Sites, in units of the cell vectors:
Cs 0.082 0.918 0.250
Cs 0.918 0.082 0.750
H 0.986 0.290 0.137
H 0.710 0.014 0.363
H 0.014 0.710 0.863
H 0.290 0.986 0.637
H 0.326 0.383 0.269
H 0.617 0.674 0.231
H 0.674 0.617 0.731
H 0.383 0.326 0.769
H 0.284 0.560 0.436
H 0.440 0.716 0.064
H 0.716 0.440 0.564
H 0.560 0.284 0.936
Se 0.708 0.292 0.250
Se 0.292 0.708 0.750
N 0.468 0.206 0.784
N 0.794 0.532 0.716
N 0.532 0.794 0.216
N 0.206 0.468 0.284

Summary:
Total magnetic moment, μB per formula unit: 0.0
E_tot, eV/atom: -4.558
Space-group type: C2/c